Entry 1:
VASP calculation (PBE) on a relaxed Pm4Sm2Er5 crystal. Values from VASP.

Structure (Quantum ESPRESSO input):
```
&SYSTEM
  ibrav = 0, nat = 11, ntyp = 3
/
ATOMIC_SPECIES
Pm 145.00 Pm.upf
Sm 150.36 Sm.upf
Er 167.26 Er.upf
ATOMIC_POSITIONS angstrom
Pm 2.077 4.066 2.832
Pm 3.036 3.562 -0.591
Pm 1.117 4.550 6.237
Pm 0.159 5.054 9.660
Sm 2.221 2.200 8.728
Sm 0.974 6.416 0.340
Er 0.743 0.747 2.930
Er 2.452 7.869 6.139
Er 3.411 7.423 2.749
Er 1.697 0.268 -0.502
Er -0.216 1.193 6.320
CELL_PARAMETERS angstrom
3.393 0.537 -1.004
1.568 8.940 -2.693
-1.767 -0.860 12.766
```

Computed properties:
size of the total moment: 0.00 μB per formula unit
energy relative to the elements: 1.8 kJ/mol of atoms
calculated volume: 357 Å³/cell
relative energy among the computed polymorphs: 0.00 eV/f.u.
D(E_F): 14.61 states/eV per cell
SG: P-1

Entry 2:
VASP calculation (PBE) on a relaxed TiHgSe4 crystal. Values from VASP.

Structure (Quantum ESPRESSO input):
```
&SYSTEM
  ibrav = 0, nat = 12, ntyp = 3
/
ATOMIC_SPECIES
Ti 47.87 Ti.upf
Hg 200.59 Hg.upf
Se 78.96 Se.upf
ATOMIC_POSITIONS angstrom
Ti 2.744 6.870 -2.816
Ti 1.507 0.720 7.033
Hg 0.578 3.594 2.805
Hg 3.673 3.996 1.412
Se 0.040 2.087 0.035
Se -1.691 6.183 0.156
Se 0.571 6.779 3.101
Se 3.680 0.811 1.117
Se 4.211 5.503 4.182
Se 2.831 2.175 5.268
Se 1.419 5.415 -1.050
Se 5.942 1.407 4.061
CELL_PARAMETERS angstrom
6.478 -0.076 -1.477
-2.115 6.929 -1.711
-0.112 0.737 7.405
```

Computed properties:
size of the total moment: 0.00 μB per formula unit
formation energy from raw total energies: -3.2 eV/f.u.
calculated volume: 340 Å³/cell
D(E_F): 0.62 states/eV per cell
SG: C2/c

Entry 3:
VASP calculation (PBE) on a relaxed Li2Ag2H crystal. Values from VASP.

Structure (Quantum ESPRESSO input):
```
&SYSTEM
  ibrav = 0, nat = 10, ntyp = 3
/
ATOMIC_SPECIES
H 1.01 H.upf
Ag 107.87 Ag.upf
Li 6.94 Li.upf
ATOMIC_POSITIONS angstrom
H 0.000 0.000 0.000
H -2.443 -2.561 1.470
Ag -2.134 -0.582 3.992
Ag -4.534 -2.057 3.868
Ag -5.160 -0.832 1.406
Ag -2.760 0.644 1.530
Li -1.566 -3.101 3.146
Li -3.934 -3.785 1.856
Li -3.321 -2.020 -0.205
Li -0.952 -1.337 1.084
CELL_PARAMETERS angstrom
-4.765 -2.073 -1.539
-0.121 -3.048 4.480
-2.407 3.708 2.458
```

Computed properties:
size of the total moment: 0.00 μB per formula unit
calculated volume: 149 Å³/cell
relative energy among the computed polymorphs: 0.00 eV/f.u.
D(E_F): 4.12 states/eV per cell
SG: P4/mbm

Entry 4:
VASP calculation (PBE) on a relaxed TbAlOs crystal. Values from VASP.

Structure (Quantum ESPRESSO input):
```
&SYSTEM
  ibrav = 0, nat = 6, ntyp = 3
/
ATOMIC_SPECIES
Tb 158.93 Tb.upf
Al 26.98 Al.upf
Os 190.23 Os.upf
ATOMIC_POSITIONS angstrom
Tb 0.854 0.488 3.976
Tb 0.811 3.903 -1.383
Al 0.833 2.195 1.296
Al -1.538 2.195 -0.094
Os -1.518 2.180 2.588
Os 2.371 0.000 1.391
CELL_PARAMETERS angstrom
4.702 0.031 -2.582
-3.076 4.391 -0.189
0.039 -0.031 5.364
```

Computed properties:
size of the total moment: 0.00 μB per formula unit
energy relative to the elements: -44.8 kJ/mol of atoms
calculated volume: 111 Å³/cell
D(E_F): 4.92 states/eV per cell
SG: Imma